# 1
First-principles (PBE) data for crystalline LiCu3Pt at its relaxed geometry, as listed in Alexandria.

- E_tot (Ha/atom) = -0.1318
- total magnetization (μB/cell) = 0.00
- offset from the most stable computed form (meV per atom) = 637
- SG = Pm-3m (221)

The structure in POSCAR format:
```
LiCu3Pt
1.0
3.9978 0.0000 0.0000
0.0000 3.9978 0.0000
0.0000 0.0000 3.9978
Li Cu Pt
1 3 1
Direct
0.0000 0.0000 0.0000 Li
0.0000 0.0000 0.5000 Cu
0.0000 0.5000 0.0000 Cu
0.5000 0.0000 0.0000 Cu
0.5000 0.5000 0.5000 Pt
```

# 2
First-principles (PBE) data for crystalline LiCuPt at its relaxed geometry, as listed in Alexandria.

- E_tot (Ha/atom) = -0.1572
- total magnetization (μB/cell) = 0.00
- offset from the most stable computed form (meV per atom) = 112
- SG = P3m1 (156)

The structure in POSCAR format:
```
LiCuPt
1.0
2.7008 0.0000 0.0000
-1.3504 2.3389 0.0000
0.0000 0.0000 6.5748
Li Cu Pt
1 1 1
Direct
0.0000 0.0000 0.0000 Li
0.6667 0.3333 0.6693 Cu
0.3333 0.6667 0.3250 Pt
```

Question: Among the records above, which one has the highest E_tot?
Answer: LiCu3Pt

Question: Which value of offset from the most stable computed form does entry 1 give?
Answer: 637 meV per atom